A plane-wave DFT calculation with PBE was carried out for an optimized crystal structure of SrLa2Zn.

- size of the total moment (Bohr magnetons per cell) = 0.0
- E_form (eV per formula unit) = -0.4

CIF file:
```
data_SrLa2Zn
_cell_length_a 3.905
_cell_length_b 3.905
_cell_length_c 9.549
_cell_angle_alpha 90.00
_cell_angle_beta 90.00
_cell_angle_gamma 90.00
_space_group_name_H-M_alt 'P 4/m m m'
_space_group_IT_number 123
_space_group_name_Hall '-P 4 2'
loop_
_atom_site_label
_atom_site_type_symbol
_atom_site_fract_x
_atom_site_fract_y
_atom_site_fract_z
_atom_site_occupancy
Sr1 Sr 0.000 0.000 0.000 1
La1 La 0.500 0.500 0.330 1
Zn1 Zn 0.000 0.000 0.500 1
```


A plane-wave DFT calculation with PBE was carried out for an optimized crystal structure of Sr5LaZn6.

- size of the total moment (Bohr magnetons per cell) = 0.0
- E_form (eV per formula unit) = -2.4

CIF file:
```
data_Sr5LaZn6
_cell_length_a 5.468
_cell_length_b 16.443
_cell_length_c 7.795
_cell_angle_alpha 90.00
_cell_angle_beta 90.00
_cell_angle_gamma 90.00
_space_group_name_H-M_alt 'C m m m'
_space_group_IT_number 65
_space_group_name_Hall '-C 2 2'
loop_
_atom_site_label
_atom_site_type_symbol
_atom_site_fract_x
_atom_site_fract_y
_atom_site_fract_z
_atom_site_occupancy
Sr1 Sr 0.000 0.000 0.000 1
Sr2 Sr 0.000 0.332 0.500 1
Sr3 Sr 0.000 0.333 0.000 1
La1 La 0.000 0.000 0.500 1
Zn1 Zn 0.000 0.161 0.257 1
Zn2 Zn 0.000 0.500 0.267 1
```


A plane-wave DFT calculation with PBE was carried out for an optimized crystal structure of SrLa2Zn2.

- size of the total moment (Bohr magnetons per cell) = 0.0
- E_form (eV per formula unit) = -0.8
- offset from the most stable computed form (meV per atom) = 0

CIF file:
```
data_SrLa2Zn2
_cell_length_a 8.922
_cell_length_b 8.922
_cell_length_c 3.873
_cell_angle_alpha 90.00
_cell_angle_beta 90.00
_cell_angle_gamma 90.00
_space_group_name_H-M_alt 'P 4/m b m'
_space_group_IT_number 127
_space_group_name_Hall '-P 4 2ab'
loop_
_atom_site_label
_atom_site_type_symbol
_atom_site_fract_x
_atom_site_fract_y
_atom_site_fract_z
_atom_site_occupancy
Sr1 Sr 0.000 0.000 0.000 1
La1 La 0.158 0.342 0.500 1
Zn1 Zn 0.133 0.633 0.000 1
```


Question: Look up the E_form of the third one.
Answer: -0.8 eV per formula unit